Below is a relaxed CoAg2CF crystal, with properties calculated at the GGA+U level.

a b c (Å): 5.006 3.456 5.006
angles (deg): 90.00 90.00 90.00
Sites, in units of the cell vectors:
F: 0.500 0.500 0.500
Co: 0.000 0.000 0.000
Ag: 0.000 0.000 0.500
Ag: 0.500 0.000 0.000
C: 0.000 0.500 0.000

Output
As for the crystal system: tetragonal. The uncorrected energy comes out at -18.12 eV per cell. The value obtained for the total moment is 1.4 μB/f.u. The space group is P4/mmm (123).